No. 1
VASP calculation (GGA-PBE) on an optimized crystal structure of Ca2TlF.

offset from the most stable computed form = 0.3855 eV per atom
SG = R-3m (166)

Lattice parameters (Å, degrees): 3.680 3.680 9.904 79.29 79.29 60.00
Each line ends with the local moment (μB).
Positions (direct):
Tl 0.000 0.000 0.000  -0.01
Ca 0.110 0.110 0.670  0.05
Ca 0.890 0.890 0.330  0.05
F 0.500 0.500 0.500  0.01

No. 2
VASP calculation (GGA-PBE) on an optimized crystal structure of CaTl3F.

offset from the most stable computed form = 0.8040 eV per atom
SG = Pm-3m (221)

Lattice parameters (Å, degrees): 6.148 6.148 6.148 90.00 90.00 90.00
Positions (direct):
Tl 0.000 0.500 0.000
Tl 0.000 0.000 0.500
Tl 0.500 0.000 0.000
Ca 0.000 0.000 0.000
F 0.500 0.500 0.500

No. 3
VASP calculation (GGA-PBE) on an optimized crystal structure of Ca5Tl3F12.

SG = Ia-3d (230)

Lattice parameters (Å, degrees): 12.945 12.945 12.945 109.47 109.47 109.47
Positions (direct):
Tl 0.750 0.375 0.125
Tl 0.875 0.750 0.125
Tl 0.375 0.750 0.625
Tl 0.250 0.125 0.375
Tl 0.875 0.125 0.250
Tl 0.375 0.625 0.250
Tl 0.625 0.375 0.750
Tl 0.125 0.875 0.750
Tl 0.750 0.875 0.625
Tl 0.625 0.250 0.375
Tl 0.125 0.250 0.875
Tl 0.250 0.625 0.875
Ca 0.125 0.375 0.250
Ca 0.000 0.500 0.000
Ca 0.000 0.000 0.000
Ca 0.375 0.250 0.125
Ca 0.500 0.000 0.500
Ca 0.500 0.500 0.000
Ca 0.125 0.750 0.375
Ca 0.750 0.125 0.875
Ca 0.750 0.625 0.375
Ca 0.375 0.125 0.750
Ca 0.625 0.875 0.250
Ca 0.500 0.500 0.500
Ca 0.500 0.000 0.000
Ca 0.000 0.000 0.500
Ca 0.250 0.375 0.625
Ca 0.250 0.875 0.125
Ca 0.000 0.500 0.500
Ca 0.875 0.250 0.625
Ca 0.625 0.750 0.875
Ca 0.875 0.625 0.750
F 0.685 0.108 0.007
F 0.322 0.507 0.398
F 0.993 0.392 0.315
F 0.507 0.185 0.108
F 0.577 0.685 0.678
F 0.993 0.602 0.178
F 0.322 0.815 0.423
F 0.102 0.923 0.108
F 0.602 0.993 0.678
F 0.685 0.577 0.178
F 0.815 0.493 0.392
F 0.822 0.898 0.007
F 0.108 0.685 0.507
F 0.392 0.398 0.077
F 0.077 0.898 0.392
F 0.423 0.108 0.602
F 0.077 0.178 0.185
F 0.493 0.678 0.102
F 0.822 0.923 0.315
F 0.108 0.423 0.102
F 0.392 0.993 0.815
F 0.602 0.608 0.423
F 0.898 0.822 0.507
F 0.815 0.322 0.923
F 0.398 0.392 0.577
F 0.102 0.178 0.493
F 0.185 0.678 0.077
F 0.178 0.077 0.685
F 0.608 0.007 0.185
F 0.892 0.577 0.898
F 0.507 0.322 0.898
F 0.577 0.892 0.398
F 0.923 0.822 0.815
F 0.923 0.102 0.608
F 0.892 0.315 0.493
F 0.178 0.102 0.993
F 0.608 0.602 0.923
F 0.398 0.007 0.322
F 0.315 0.423 0.822
F 0.185 0.507 0.608
F 0.898 0.077 0.892
F 0.678 0.185 0.577
F 0.493 0.815 0.892
F 0.007 0.398 0.822
F 0.423 0.315 0.322
F 0.007 0.608 0.685
F 0.678 0.493 0.602
F 0.315 0.892 0.993

No. 4
VASP calculation (GGA-PBE) on an optimized crystal structure of Ca2Tl3F7.

SG = I4/mmm (139)

Lattice parameters (Å, degrees): 4.504 4.504 11.923 100.89 100.89 90.00
Positions (direct):
Ca 0.099 0.099 0.197
Ca 0.901 0.901 0.803
Tl 0.311 0.311 0.621
Tl 0.689 0.689 0.379
Tl 0.500 0.500 0.000
F 0.000 0.000 0.000
F 0.903 0.403 0.805
F 0.403 0.903 0.805
F 0.097 0.597 0.195
F 0.597 0.097 0.195
F 0.198 0.198 0.395
F 0.802 0.802 0.605

no.,E_tot (eV/atom),uncorrected formation energy (eV/f.u.)
1,-3.198,-4.550
2,-2.078,0.582
3,-5.077,-61.985
4,-4.840,-33.877